No. 1
Here is an optimized crystal structure of ThPa2Al from Alexandria. Energies are from PBE-GGA.

Values from the calculation:
E: -7.320 eV per atom
magnetization: 0.0001 μB per atom

Unit cell a=5.212 b=5.212 c=5.212 alpha=60.00 beta=60.00 gamma=60.00
Sites, in units of the cell vectors:
Pa 0.250 0.250 0.250
Pa 0.750 0.750 0.750
Th 0.000 0.000 0.000
Al 0.500 0.500 0.500

---

No. 2
Here is an optimized crystal structure of MoAsPbSe2 from Alexandria. Energies are from PBE-GGA.

Values from the calculation:
formation energy without anion corrections: 0.70 eV per formula unit
E: -5.092 eV per atom
magnetization: 0.0200 μB per atom

Unit cell a=5.149 b=5.149 c=4.928 alpha=90.00 beta=90.00 gamma=90.00
Site moments in Bohr magnetons follow the coordinates.
Sites, in units of the cell vectors:
Se 0.000 0.500 0.000  0.00
Se 0.500 0.000 0.000  0.00
Mo 0.000 0.000 0.000  0.09
As 0.000 0.000 0.500  -0.01
Pb 0.500 0.500 0.500  0.01